1.
Compound: LiMoO2
Source: the Alexandria database
Functional: PBE with a Hubbard U
Structure: relaxed

Cell and atoms, written as POSCAR:
```
LiMoO2
1.0
2.6802 0.0000 0.0000
0.0000 2.6802 0.0000
0.0000 0.0000 5.3864
Li Mo O
1 1 2
direct
0.0000 0.0000 0.0000
0.0000 0.0000 0.5000
0.5000 0.5000 0.2703
0.5000 0.5000 0.7297
```

Properties
Polymorph energy (0 for the lowest one)   0.512 eV/atom
Calculated volume   38.69 Å³/cell
N(E_F)   0.2454 states/eV per atom
Raw total energy   -5.970 eV/atom

***

2.
Compound: BaLuCo4O7
Source: the Alexandria database
Functional: PBE with a Hubbard U
Structure: relaxed

Cell and atoms, written as POSCAR:
```
BaLuCo4O7
1.0
3.1218 -5.4888 0.0000
3.1218 5.4888 0.0000
-0.0774 0.0000 10.3481
Ba Lu Co O
2 2 8 14
direct
0.1693 0.8307 0.5000
0.8307 0.1693 0.0000
0.1782 0.8332 0.8761
0.8332 0.1782 0.3761
0.1637 0.3245 0.6841
0.3245 0.1637 0.1841
0.3441 0.6846 0.1846
0.5017 0.5080 0.4381
0.5080 0.5017 0.9381
0.6685 0.8533 0.6873
0.6846 0.3441 0.6846
0.8533 0.6685 0.1873
0.0090 0.0135 0.2511
0.0135 0.0090 0.7511
0.0324 0.5339 0.2741
0.0442 0.5358 0.7286
0.1624 0.3051 0.5044
0.3051 0.1624 0.0044
0.3563 0.6862 0.9969
0.4996 0.5040 0.7461
0.5040 0.4996 0.2461
0.5339 0.0324 0.7741
0.5358 0.0442 0.2286
0.6236 0.8465 0.4975
0.6862 0.3563 0.4969
0.8465 0.6236 0.9975
```

Properties
Polymorph energy (0 for the lowest one)   0.005 eV/atom
Calculated volume   354.63 Å³/cell
Raw total energy   -6.553 eV/atom